# MnBePO2

An optimized crystal structure of MnBePO2 (GGA+U, the Alexandria database).

Properties
raw total energy: -5.415 eV/atom
spin magnetization: 2.4 μB per formula unit
ρ: 3.1 g/cm³

Cell: 3.597 3.597 5.191 Å, 90.00 90.00 90.00°
Positions (direct):
Mn 0.000 0.000 0.000
O 0.000 0.500 0.000
O 0.500 0.000 0.000
Be 0.500 0.500 0.500
P 0.000 0.000 0.500